No. 1
Here is an optimized crystal structure of CrFeSb2Pb from the Alexandria database. Energies are from PBE-GGA.

```
CrFeSb2Pb
1.0
5.0121 0.0000 0.0000
0.0000 5.0121 0.0000
0.0000 0.0000 4.7686
Pb Sb Fe Cr
1 2 1 1
Direct
0.5000 0.5000 0.5000
0.0000 0.5000 0.0000
0.5000 0.0000 0.0000
0.0000 0.0000 0.5000
0.0000 0.0000 0.0000
```

Summary:
The uncorrected formation energy is 663 meV per atom. The total energy is -5.345 eV per atom.



No. 2
Here is an optimized crystal structure of TlAg2PbBr6 from the Alexandria database. Energies are from PBE-GGA.

```
TlAg2PbBr6
1.0
7.8221 -0.5533 -0.5742
1.8112 9.4618 0.5513
1.8112 0.2003 9.4757
Tl Ag Pb Br
2 4 2 12
Direct
0.2500 0.3307 0.6693
0.7500 0.6693 0.3307
0.2525 0.8121 0.6104
0.2475 0.3896 0.1879
0.7475 0.1879 0.3896
0.7525 0.6104 0.8121
0.2500 0.9108 0.0892
0.7500 0.0892 0.9108
0.1156 0.9986 0.7867
0.3844 0.2133 0.0014
0.8844 0.0014 0.2133
0.6156 0.7867 0.9986
0.3793 0.9236 0.3585
0.1207 0.6415 0.0764
0.6207 0.0764 0.6415
0.8793 0.3585 0.9236
0.0028 0.6491 0.6109
0.4972 0.3891 0.3509
0.9972 0.3509 0.3891
0.5028 0.6109 0.6491
```

Summary:
The uncorrected formation energy is -542 meV per atom. The total energy is -2.724 eV per atom.



No. 3
Here is an optimized crystal structure of KRb5O3 from the Alexandria database. Energies are from PBE-GGA.

```
KRb5O3
1.0
4.3580 0.0000 0.0000
0.0000 6.5156 -0.2045
0.0000 0.1670 19.4998
K Rb O
2 10 6
Direct
0.0000 0.6918 0.2300
0.0000 0.3082 0.7700
0.5000 0.8111 0.7301
0.5000 0.8335 0.0697
0.5000 0.7830 0.3874
0.0000 0.6664 0.8986
0.0000 0.7126 0.5581
0.0000 0.2874 0.4419
0.0000 0.3336 0.1014
0.5000 0.1665 0.9303
0.5000 0.2170 0.6126
0.5000 0.1889 0.2699
0.0000 0.0000 0.0000
0.0000 0.0118 0.6697
0.0000 0.9882 0.3303
0.5000 0.4837 0.8288
0.5000 0.5000 0.5000
0.5000 0.5163 0.1712
```

Summary:
The uncorrected formation energy is -908 meV per atom. The total energy is -3.220 eV per atom.



No. 4
Here is an optimized crystal structure of Rb2BiRh2Pb2 from the Alexandria database. Energies are from PBE-GGA.

```
Rb2BiRh2Pb2
1.0
5.1215 0.0000 0.0000
0.0000 5.1215 0.0000
-2.5608 -2.5608 9.3699
Rb Bi Rh Pb
2 1 2 2
Direct
0.1845 0.1845 0.3690
0.8155 0.8155 0.6310
0.0000 0.0000 0.0000
0.0000 0.5000 0.0000
0.5000 0.0000 0.0000
0.4137 0.4137 0.8274
0.5863 0.5863 0.1726
```

Summary:
The total energy is -3.970 eV per atom.



No. 5
Here is an optimized crystal structure of ScAlCu3 from the Alexandria database. Energies are from PBE-GGA.

```
ScAlCu3
1.0
-1.4486 3.0830 3.3679
-4.4745 -0.2550 -1.6912
-0.9092 -3.6574 2.9569
Sc Al Cu
1 1 3
Direct
0.0000 0.0000 0.0000
0.5000 0.5000 0.5000
0.0000 0.5000 0.0000
0.0000 0.0000 0.5000
0.5000 0.0000 0.0000
```

Summary:
The total energy is -3.389 eV per atom. The distance to the lowest polymorph of the same formula is 1.2879 eV/atom.



No. 6
Here is an optimized crystal structure of Ba2LiGaPd6 from the Alexandria database. Energies are from PBE-GGA.

```
Ba2LiGaPd6
1.0
6.5639 0.0109 0.0290
0.0093 6.9275 0.1947
3.2997 3.5999 4.8803
Ba Li Ga Pd
2 1 1 6
Direct
0.2171 0.7816 0.5651
0.7829 0.2184 0.4349
0.0000 0.0000 0.0000
0.5000 0.5000 0.0000
0.2475 0.7558 0.0856
0.6700 0.7543 0.0844
0.2466 0.3353 0.5075
0.7525 0.2442 0.9144
0.3300 0.2457 0.9156
0.7534 0.6647 0.4925
```

Summary:
The total energy is -4.440 eV per atom.



No. 7
Here is an optimized crystal structure of Li2RuSe from the Alexandria database. Energies are from PBE-GGA.

```
Li2RuSe
1.0
8.7907 0.0679 0.0401
8.2063 3.1526 0.0401
8.2063 1.5549 2.7428
Li Ru Se
2 1 1
Direct
0.0104 0.0104 0.0104
0.2398 0.2398 0.2398
0.4892 0.4892 0.4892
0.7606 0.7606 0.7606
```

Summary:
The uncorrected formation energy is -15 meV per atom. The total energy is -4.162 eV per atom.



No. 8
Here is an optimized crystal structure of CsPuClO3 from the Alexandria database. Energies are from PBE-GGA.

```
CsPuClO3
1.0
-3.5197 1.9265 4.2410
-6.0392 -2.6314 1.9435
1.4242 -6.9126 7.2023
Cs Pu Cl O
2 2 2 6
Direct
0.2500 0.3308 0.3384
0.7500 0.6692 0.6616
0.7500 0.0550 0.8900
0.2500 0.9450 0.1100
0.2500 0.5801 0.8398
0.7500 0.4199 0.1602
0.5446 0.9204 0.8933
0.9554 0.1863 0.8933
0.7500 0.1558 0.6883
0.4554 0.0796 0.1067
0.0446 0.8137 0.1067
0.2500 0.8442 0.3117
```

Summary:
The uncorrected formation energy is -2091 meV per atom. The total energy is -7.409 eV per atom.



No. 9
Here is an optimized crystal structure of Li2La2Pd from the Alexandria database. Energies are from PBE-GGA.

```
Li2La2Pd
1.0
3.7319 0.0000 0.0000
0.0000 3.7319 0.0000
1.8660 1.8660 9.4901
Li Pd La
2 1 2
Direct
0.7500 0.2500 0.5000
0.2500 0.7500 0.5000
0.0000 0.0000 0.0000
0.4104 0.4104 0.1793
0.5896 0.5896 0.8207
```

Summary:
The total energy is -3.962 eV per atom. The distance to the lowest polymorph of the same formula is 0.0000 eV/atom.



No. 10
Here is an optimized crystal structure of ScCuW2 from the Alexandria database. Energies are from PBE-GGA.

```
ScCuW2
1.0
-2.6615 -0.8756 -3.8872
-1.4909 -1.8328 1.4336
-3.5364 3.1547 1.7107
Cu Sc W
1 1 2
Direct
0.5000 0.2500 0.2500
0.5000 0.7500 0.7500
0.0000 0.0619 0.9986
0.0000 0.4381 0.5014
```

Summary:
The total energy is -8.794 eV per atom. The distance to the lowest polymorph of the same formula is 0.1325 eV/atom.



No. 11
Here is an optimized crystal structure of Pm4SmHg from the Alexandria database. Energies are from PBE-GGA.

```
Pm4SmHg
1.0
-0.0676 -2.5373 2.6612
2.9417 -1.6342 -1.4833
8.5460 8.1411 7.9790
Pm Sm Hg
4 1 1
Direct
0.5000 0.5000 0.1787
0.0000 0.0000 0.6426
0.0000 0.0000 0.3574
0.5000 0.5000 0.8213
0.0000 0.0000 0.0000
0.5000 0.5000 0.5000
```

Summary:
The total energy is -4.152 eV per atom. The distance to the lowest polymorph of the same formula is 0.0000 eV/atom.



No. 12
Here is an optimized crystal structure of FeNiS2 from the Alexandria database. Energies are from PBE-GGA.

```
FeNiS2
1.0
0.0000 2.9244 2.9244
2.9244 0.0000 2.9244
2.9244 2.9244 0.0000
Ni S Fe
1 2 1
Direct
0.5000 0.5000 0.5000
0.2500 0.2500 0.2500
0.7500 0.7500 0.7500
0.0000 0.0000 0.0000
```

Summary:
The uncorrected formation energy is 157 meV per atom. The total energy is -5.467 eV per atom.



No. 13
Here is an optimized crystal structure of K3IrN from the Alexandria database. Energies are from PBE-GGA.

```
K3IrN
1.0
6.0805 0.0000 0.0000
0.0000 6.0805 0.0000
0.0000 0.0000 6.0805
K Ir N
3 1 1
Direct
0.0000 0.5000 0.0000
0.0000 0.0000 0.5000
0.5000 0.0000 0.0000
0.0000 0.0000 0.0000
0.5000 0.5000 0.5000
```

Summary:
The uncorrected formation energy is 1427 meV per atom. The total energy is -2.668 eV per atom.



No. 14
Here is an optimized crystal structure of RbTaZnCl2 from the Alexandria database. Energies are from PBE-GGA.

```
RbTaZnCl2
1.0
-5.2036 -2.6003 1.2932
-1.1475 -0.6036 -5.8313
2.6690 -5.3279 0.0263
Zn Cl Rb Ta
1 2 1 1
Direct
0.0000 0.5000 0.0000
0.0000 0.0000 0.5000
0.5000 0.0000 0.0000
0.0000 0.0000 0.0000
0.5000 0.5000 0.5000
```

Summary:
The uncorrected formation energy is 959 meV per atom. The total energy is -2.599 eV per atom.



No. 15
Here is an optimized crystal structure of ScInMo2 from the Alexandria database. Energies are from PBE-GGA.

```
ScInMo2
1.0
-0.6351 3.6556 2.8330
-4.6215 -0.6083 -0.2535
2.7490 -3.5315 1.3282
In Mo Sc
1 2 1
Direct
0.7500 0.2500 0.5000
0.0000 0.0000 0.0000
0.2500 0.7500 0.5000
0.5000 0.5000 0.0000
```

Summary:
The total energy is -7.663 eV per atom.



No. 16
Here is an optimized crystal structure of TcP2SeS from the Alexandria database. Energies are from PBE-GGA.

```
TcP2SeS
1.0
-1.7978 0.1925 4.3878
4.3595 -0.4981 1.8081
0.5216 4.6072 0.0116
P S Tc Se
2 1 1 1
Direct
0.0000 0.5000 0.0000
0.5000 0.0000 0.0000
0.0000 0.0000 0.5000
0.5000 0.5000 0.5000
0.0000 0.0000 0.0000
```

Summary:
The uncorrected formation energy is 1422 meV per atom. The total energy is -4.338 eV per atom. The distance to the lowest polymorph of the same formula is 0.9209 eV/atom.



No. 17
Here is an optimized crystal structure of LiH2Rh from the Alexandria database. Energies are from PBE-GGA.

```
LiH2Rh
1.0
2.9398 0.0000 0.0000
1.4699 2.5460 0.0000
1.4699 0.8487 4.3574
H Rh Li
2 1 1
Direct
0.7727 0.7727 0.6819
0.2273 0.2273 0.3181
0.5000 0.5000 0.5000
0.0000 0.0000 0.0000
```

Summary:
The total energy is -4.300 eV per atom. The distance to the lowest polymorph of the same formula is 0.0091 eV/atom.



No. 18
Here is an optimized crystal structure of SrLa3Os from the Alexandria database. Energies are from PBE-GGA.

```
SrLa3Os
1.0
5.8194 0.0000 0.0000
0.0000 5.8194 0.0000
2.9097 2.9097 13.1813
Sr Os La
2 2 6
Direct
0.0000 0.0000 0.0000
0.2500 0.7500 0.5000
0.7038 0.2038 0.5924
0.7962 0.2962 0.4076
0.6228 0.8597 0.2805
0.1403 0.3772 0.7195
0.1403 0.9033 0.7195
0.0967 0.8597 0.2805
0.2904 0.2904 0.4192
0.7096 0.7096 0.5808
```

Summary:
The total energy is -4.662 eV per atom. The distance to the lowest polymorph of the same formula is 0.9599 eV/atom.



No. 19
Here is an optimized crystal structure of AlSi2Au from the Alexandria database. Energies are from PBE-GGA.

```
AlSi2Au
1.0
4.2860 -0.0947 0.0400
3.0187 3.0441 0.0400
2.4259 0.9795 5.4510
Si Au Al
2 1 1
Direct
0.9397 0.9397 0.9569
0.3150 0.3150 0.2824
0.7228 0.7228 0.7588
0.5225 0.5225 0.5020
```

Summary:
The uncorrected formation energy is 118 meV per atom. The total energy is -4.349 eV per atom.



No. 20
Here is an optimized crystal structure of TaTi2Co2 from the Alexandria database. Energies are from PBE-GGA.

```
TaTi2Co2
1.0
-3.7408 -4.4712 -3.9131
4.2062 1.2733 -5.4758
1.7379 -2.1789 0.8283
Ti Co Ta
4 4 2
Direct
0.1616 0.6616 0.5000
0.6616 0.8384 0.5000
0.8384 0.3384 0.5000
0.3384 0.1616 0.5000
0.3683 0.8683 0.0000
0.8683 0.6317 0.0000
0.6317 0.1317 0.0000
0.1317 0.3683 0.0000
0.0000 0.0000 0.0000
0.5000 0.5000 0.0000
```

Summary:
The total energy is -8.571 eV per atom. The distance to the lowest polymorph of the same formula is 0.0000 eV/atom.



No. 21
Here is an optimized crystal structure of PuNp2Se5 from the Alexandria database. Energies are from PBE-GGA.

```
PuNp2Se5
1.0
4.9355 0.0000 0.0000
0.0000 6.9233 0.0000
0.0000 0.0000 6.9233
Pu Np Se
1 2 5
Direct
0.0000 0.0000 0.0000
0.5000 0.5000 0.0000
0.5000 0.0000 0.5000
0.0000 0.7247 0.7247
0.0000 0.2753 0.7247
0.0000 0.7247 0.2753
0.5000 0.0000 0.0000
0.0000 0.2753 0.2753
```

Summary:
The uncorrected formation energy is -494 meV per atom. The total energy is -7.699 eV per atom.



No. 22
Here is an optimized crystal structure of CeNdCo from the Alexandria database. Energies are from PBE-GGA.

```
CeNdCo
1.0
4.7581 0.0000 0.0000
2.3790 4.1206 0.0000
2.3790 1.3735 3.8850
Co Nd Ce
1 1 1
Direct
0.2500 0.2500 0.2500
0.0000 0.0000 0.0000
0.5000 0.5000 0.5000
```

Summary:
The total energy is -5.855 eV per atom. The distance to the lowest polymorph of the same formula is 0.2047 eV/atom.



No. 23
Here is an optimized crystal structure of Pr5Hg2O2 from the Alexandria database. Energies are from PBE-GGA.

```
Pr5Hg2O2
1.0
-3.8166 5.8494 -1.6236
0.6163 -1.5321 -6.9685
-6.3049 -7.2027 4.7059
Pr Hg O
10 4 4
Direct
0.7707 0.7803 0.0416
0.2293 0.7388 0.9584
0.7709 0.2803 0.0416
0.2291 0.2388 0.9584
0.7702 0.8721 0.7260
0.2298 0.1461 0.2740
0.4558 0.3721 0.7260
0.5442 0.6461 0.2740
0.9993 0.0101 0.5000
0.0007 0.5101 0.5000
0.8921 0.3801 0.7404
0.1079 0.6397 0.2596
0.3482 0.8801 0.7404
0.6518 0.1397 0.2596
0.0000 0.0095 0.0000
0.5000 0.5095 0.0000
0.7767 0.7594 0.5000
0.2233 0.2594 0.5000
```

Summary:
The uncorrected formation energy is -1395 meV per atom. The total energy is -5.219 eV per atom.



No. 24
Here is an optimized crystal structure of Ca3Si2Ag4 from the Alexandria database. Energies are from PBE-GGA.

```
Ca3Si2Ag4
1.0
4.3963 0.0000 1.1727
1.8196 5.2703 2.0052
-0.0081 0.1764 8.8569
Ca Si Ag
3 2 4
Direct
0.3316 0.6763 0.6605
0.0000 0.0000 0.0000
0.6684 0.3237 0.3395
0.4060 0.9145 0.2736
0.5940 0.0855 0.7264
0.2969 0.3490 0.0572
0.7031 0.6510 0.9428
0.0591 0.2604 0.6213
0.9409 0.7396 0.3787
```

Summary:
The uncorrected formation energy is -299 meV per atom. The total energy is -3.439 eV per atom.



No. 25
Here is an optimized crystal structure of MgCo4Cl from the Alexandria database. Energies are from PBE-GGA.

```
MgCo4Cl
1.0
0.0000 3.4744 3.4744
3.4744 0.0000 3.4744
3.4744 3.4744 0.0000
Mg Co Cl
1 4 1
Direct
0.2500 0.2500 0.2500
0.6246 0.6246 0.1262
0.6246 0.1262 0.6246
0.6246 0.6246 0.6246
0.1262 0.6246 0.6246
0.0000 0.0000 0.0000
```

Summary:
The uncorrected formation energy is 417 meV per atom. The total energy is -4.894 eV per atom.